First-principles (PBE) data for CdIr2Ru after structural relaxation, as listed in Alexandria.

a b c (Å): 2.7788 4.7917 9.5488
angles (deg): 90.00 90.00 90.00
Closest atoms and distances in Å follow each position.
Space group Cmm2 (No. 35)
One atom of each set of equivalent atoms:
Cd1 0.0000 0.0000 0.0000 (multiplicity 2)  6 Cd 2.77-2.78, 2 Ir 2.85, 2 Ru 2.87
Ir1 0.0000 0.0000 0.5026 (multiplicity 2)  2 Ru 2.63, 8 Ir 2.69-2.78
Ir2 0.0000 0.5000 0.2610 (multiplicity 2)  8 Ir 2.69-2.78, 2 Cd 2.85
Ru1 0.0000 0.5000 0.7369 (multiplicity 2)  2 Ir 2.63, 6 Ru 2.77-2.78, 2 Cd 2.87

Summary:
Energy of formation, meV per atom: 404
Final energy, eV per atom: -6.57
Fermi-level density of states, states/eV/f.u.: 5.1
Density, g cm⁻³: 15.62

---

First-principles (PBE) data for Dy5AlIn2 after structural relaxation, as listed in Alexandria.

a b c (Å): 8.0145 8.0145 14.1342
angles (deg): 90.00 90.00 90.00
Closest atoms and distances in Å follow each position.
Space group I4/mcm (No. 140)
One atom of each set of equivalent atoms:
Dy1 0.0000 0.0000 0.0000 (multiplicity 4)  4 In 3.14
Dy2 0.1646 0.3354 0.1538 (multiplicity 16)  3 In 3.18-3.22, 2 Al 3.29, 1 Dy 3.34
Al1 0.0000 0.0000 0.2500 (multiplicity 4)  10 Dy 3.29-3.53
In1 0.1300 0.3700 0.5000 (multiplicity 8)  1 In 2.95, 8 Dy 3.14-3.22

Summary:
Energy of formation, meV per atom: -303
Final energy, eV per atom: -4.33
Fermi-level density of states, states/eV/f.u.: 6.9
Density, g cm⁻³: 7.82

---

Repeat the second record exactly.
First-principles (PBE) data for Dy5AlIn2 after structural relaxation, as listed in Alexandria.

a b c (Å): 8.0145 8.0145 14.1342
angles (deg): 90.00 90.00 90.00
Closest atoms and distances in Å follow each position.
Space group I4/mcm (No. 140)
One atom of each set of equivalent atoms:
Dy1 0.0000 0.0000 0.0000 (multiplicity 4)  4 In 3.14
Dy2 0.1646 0.3354 0.1538 (multiplicity 16)  3 In 3.18-3.22, 2 Al 3.29, 1 Dy 3.34
Al1 0.0000 0.0000 0.2500 (multiplicity 4)  10 Dy 3.29-3.53
In1 0.1300 0.3700 0.5000 (multiplicity 8)  1 In 2.95, 8 Dy 3.14-3.22

Summary:
Energy of formation, meV per atom: -303
Final energy, eV per atom: -4.33
Fermi-level density of states, states/eV/f.u.: 6.9
Density, g cm⁻³: 7.82